# PBE CsSnO3, optimized geometry
data_CsSnO3
_cell_length_a 4.491
_cell_length_b 4.491
_cell_length_c 4.491
_cell_angle_alpha 90.00
_cell_angle_beta 90.00
_cell_angle_gamma 90.00
_space_group_name_H-M_alt 'P m -3 m'
_space_group_IT_number 221
_space_group_name_Hall '-P 4 2 3'
loop_
_atom_site_label
_atom_site_type_symbol
_atom_site_fract_x
_atom_site_fract_y
_atom_site_fract_z
Cs1 Cs 0.000 0.000 0.000
Sn1 Sn 0.500 0.500 0.500
O1 O 0.000 0.000 0.500
# N(E_F)	1.07	states/eV/f.u.
# formation energy (no corrections)	380	meV/atom
# final energy	-3.566	eV per atom